Here is a geometry-optimized PrMoN4 structure from Alexandria. Energies are from PBE.

## Properties
**Crystal system**: tetragonal
**DOS at the Fermi energy**: 0.4175 states/eV per atom
**Formation energy from raw total energies**: 0.078 eV per atom

Lattice parameters (Å, degrees): 5.491 5.491 7.139 112.62 112.62 90.00
Positions (direct):
Pr1 0.000 0.000 0.000
Pr2 0.750 0.250 0.500
Mo1 0.500 0.500 0.000
Mo2 0.250 0.750 0.500
N1 0.016 0.910 0.330
N2 0.170 0.266 0.830
N3 0.660 0.564 0.830
N4 0.314 0.420 0.330
N5 0.436 0.830 0.170
N6 0.090 0.686 0.670
N7 0.580 0.984 0.670
N8 0.734 0.340 0.170